*i*
DFT (PBE-GGA) results for ZrCuBPt after structural relaxation.

```
4
Lattice="0.0000 3.0636 3.0636 3.0636 0.0000 3.0636 3.0636 3.0636 0.0000" Properties=species:S:1:pos:R:3 pbc="T T T"
B 0.0000 0.0000 0.0000
Cu 4.5954 4.5954 4.5954
Pt 1.5318 1.5318 1.5318
Zr 3.0636 3.0636 3.0636
```

Properties
Volume ... 14.38 Å³/atom
Total magnetic moment ... 0.00 μB per cell
Mass density ... 10.4 Mg/m³



*ii*
DFT (PBE-GGA) results for ZrCuBPt after structural relaxation.

```
4
Lattice="2.2111 0.2474 3.6249 -1.5545 -1.7291 3.5615 1.8036 -3.4886 1.6333" Properties=species:S:1:pos:R:3 pbc="T T T"
B 0.6151 -1.2426 2.2049
Cu 1.8452 -3.7276 6.6148
Pt 1.2301 -2.4851 4.4099
Zr 0.0000 0.0000 0.0000
```

Properties
Volume ... 13.60 Å³/atom
Total magnetic moment ... 0.00 μB per cell
Mass density ... 11.0 Mg/m³



Stability comparison, relative energies in meV per atom: *i* 255; *ii* 0



*i*
DFT (PBE-GGA) results for ScCuB4 after structural relaxation.

```
6
Lattice="-1.9841 2.3361 -0.5517 0.6677 -2.0412 -2.2552 -4.8757 -3.6926 1.8987" Properties=species:S:1:pos:R:3 pbc="T T T"
B -2.3832 -0.0947 -0.6199
B -1.4993 -1.5538 -1.1877
B -4.6928 -1.8439 0.2795
B -3.8089 -3.3030 -0.2883
Cu -2.4379 -1.8463 0.9493
Sc 0.0000 0.0000 0.0000
```

Properties
Volume ... 8.96 Å³/atom
Total magnetic moment ... 0.00 μB per cell
Mass density ... 4.7 Mg/m³



*ii*
DFT (PBE-GGA) results for ScCuB4 after structural relaxation.

```
24
Lattice="-0.4004 4.6143 3.4754 -11.2655 -0.5877 -0.5175 -0.0178 -2.0272 2.6895" Properties=species:S:1:pos:R:3 pbc="T T T"
B -0.6175 1.8945 3.5327
B -0.6266 -0.5056 1.7236
B -2.3937 2.1536 3.7163
B -2.2174 -1.0081 1.3343
B -3.6541 1.2346 3.0152
B -3.6253 -0.2282 1.9128
B -5.3174 1.5673 3.2550
B -5.3407 -0.6695 1.5688
B -6.3429 2.6689 4.0786
B -6.3662 0.4321 2.3924
B -8.0583 2.2277 3.7346
B -8.0295 0.7649 2.6322
B -9.4662 3.0075 4.3131
B -9.2900 -0.1542 1.9311
B -11.0570 2.5051 3.9238
B -11.0662 0.1049 2.1147
Cu -1.3545 3.9398 2.9607
Cu -4.7709 1.4439 1.0568
Cu -6.8950 2.5827 1.9011
Cu -10.3114 0.0869 -0.0028
Sc -1.8513 1.6436 1.2266
Sc -4.2823 3.8344 2.8618
Sc -7.3836 0.1923 0.0961
Sc -9.8146 2.3831 1.7313
```

Properties
Volume ... 9.18 Å³/atom
Total magnetic moment ... 0.00 μB per cell
Mass density ... 4.6 Mg/m³



Stability comparison, relative energies in meV per atom: *i* 99; *ii* 0



*i*
DFT (PBE-GGA) results for YScCuB after structural relaxation.

```
4
Lattice="1.0162 -3.7476 -2.3333 -2.2770 -0.9976 -3.7870 2.0491 0.3250 -4.0271" Properties=species:S:1:pos:R:3 pbc="T T T"
B 0.0000 0.0000 0.0000
Cu 0.5912 -3.3152 -7.6106
Sc 0.1971 -1.1051 -2.5369
Y 0.3941 -2.2101 -5.0737
```

Properties
Volume ... 16.43 Å³/atom
Total magnetic moment ... 1.19 μB per cell
Mass density ... 5.3 Mg/m³



*ii*
DFT (PBE-GGA) results for YScCuB after structural relaxation.

```
4
Lattice="0.0000 3.2190 3.2190 3.2190 0.0000 3.2190 3.2190 3.2190 0.0000" Properties=species:S:1:pos:R:3 pbc="T T T"
B 0.0000 0.0000 0.0000
Cu 4.8285 4.8285 4.8285
Sc 3.2190 3.2190 3.2190
Y 1.6095 1.6095 1.6095
```

Properties
Volume ... 16.68 Å³/atom
Total magnetic moment ... 1.06 μB per cell
Mass density ... 5.2 Mg/m³



Stability comparison, relative energies in meV per atom: *i* 17; *ii* 0



*i*
DFT (PBE-GGA) results for SmCuB4 after structural relaxation.

```
6
Lattice="3.4458 2.1287 3.0410 -0.2335 4.9460 -1.0654 -2.6133 -3.8915 1.9181" Properties=species:S:1:pos:R:3 pbc="T T T"
B 1.0940 1.2517 2.1047
B -0.7915 2.5592 0.0233
B 1.3904 0.6240 3.8704
B -0.4951 1.9315 1.7890
Cu 1.6061 3.5374 0.9878
Sm 0.0000 0.0000 0.0000
```

Properties
Volume ... 11.23 Å³/atom
Total magnetic moment ... 0.00 μB per cell
Mass density ... 6.3 Mg/m³



*ii*
DFT (PBE-GGA) results for SmCuB4 after structural relaxation.

```
6
Lattice="3.2167 0.0000 0.0000 -1.6083 2.7857 0.0000 0.0000 0.0000 6.7593" Properties=species:S:1:pos:R:3 pbc="T T T"
B 1.6083 0.9286 1.4120
B 0.0000 1.8571 1.4120
B 1.6083 0.9286 5.3473
B 0.0000 1.8571 5.3473
Cu 0.0000 0.0000 0.0000
Sm 0.0000 0.0000 3.3797
```

Properties
Volume ... 10.09 Å³/atom
Total magnetic moment ... 0.00 μB per cell
Mass density ... 7.1 Mg/m³



Stability comparison, relative energies in meV per atom: *i* 48; *ii* 0



*i*
DFT (PBE-GGA) results for SmCuB after structural relaxation.

```
3
Lattice="2.1214 -3.9009 0.0618 -1.4395 -3.2688 2.6389 -1.9153 -3.5973 -1.7642" Properties=species:S:1:pos:R:3 pbc="T T T"
B -0.3083 -2.6918 0.2341
Cu -0.9250 -8.0753 0.7024
Sm 0.0000 0.0000 0.0000
```

Properties
Volume ... 20.64 Å³/atom
Total magnetic moment ... 0.00 μB per cell
Mass density ... 6.0 Mg/m³



*ii*
DFT (PBE-GGA) results for SmCuB after structural relaxation.

```
3
Lattice="1.4258 -3.7974 1.1091 -2.6398 -2.8485 1.6127 -1.0694 -3.3872 -2.2509" Properties=species:S:1:pos:R:3 pbc="T T T"
B 0.0000 0.0000 0.0000
Cu -0.5709 -2.5083 0.1177
Sm -1.7126 -7.5249 0.3532
```

Properties
Volume ... 17.53 Å³/atom
Total magnetic moment ... 0.26 μB per cell
Mass density ... 7.1 Mg/m³



Stability comparison, relative energies in meV per atom: *i* 720; *ii* 0



*i*
DFT (PBE-GGA) results for CuSnB4 after structural relaxation.

```
6
Lattice="-2.5296 -1.2238 1.1737 1.2042 -1.1468 -2.5512 4.4606 -5.0318 4.3674" Properties=species:S:1:pos:R:3 pbc="T T T"
B -0.4013 -2.1950 0.7973
B 0.8433 -2.1694 -0.4443
B 2.2918 -5.2330 3.4341
B 3.5364 -5.2074 2.1925
Cu 0.0000 0.0000 0.0000
Sn 2.2303 -2.5159 2.1837
```

Properties
Volume ... 10.73 Å³/atom
Mass density ... 5.8 Mg/m³



*ii*
DFT (PBE-GGA) results for CuSnB4 after structural relaxation.

```
6
Lattice="-1.1350 0.9321 4.5613 -1.0701 4.6537 -0.4007 -1.4834 -4.3478 -1.3633" Properties=species:S:1:pos:R:3 pbc="T T T"
B -1.4368 0.2860 2.1294
B -1.3810 2.0878 -0.3955
B -2.3075 -0.8498 3.1928
B -2.2517 0.9520 0.6679
Cu 0.0000 0.0000 0.0000
Sn -1.1026 2.7929 2.0803
```

Properties
Volume ... 10.18 Å³/atom
Mass density ... 6.1 Mg/m³



Stability comparison, relative energies in meV per atom: *i* 0; *ii* 56



*i*
DFT (PBE-GGA) results for CuTcB4 after structural relaxation.

```
6
Lattice="-1.0887 2.0998 -1.7650 0.8214 -2.5990 -1.1314 -6.4487 -2.4835 1.0231" Properties=species:S:1:pos:R:3 pbc="T T T"
B -2.1016 -0.1017 -1.2921
B -1.4648 -1.6680 -1.0809
B -5.2512 -1.3147 -0.7924
B -4.6144 -2.8810 -0.5812
Cu 0.0000 0.0000 0.0000
Tc -3.2244 -1.2418 0.5116
```

Properties
Volume ... 8.78 Å³/atom
Total magnetic moment ... 0.00 μB per cell
Mass density ... 6.5 Mg/m³



*ii*
DFT (PBE-GGA) results for CuTcB4 after structural relaxation.

```
6
Lattice="0.1495 -1.5229 4.1793 3.3461 2.6658 1.2268 -4.2756 0.1669 -1.2247" Properties=species:S:1:pos:R:3 pbc="T T T"
B -0.5119 -0.1697 2.3651
B 1.0676 1.9185 0.8598
B -1.8476 -0.6087 3.3216
B -0.2681 1.4795 1.8163
Cu 0.0000 0.0000 0.0000
Tc 1.7478 0.5715 2.7031
```

Properties
Volume ... 8.53 Å³/atom
Total magnetic moment ... 0.03 μB per cell
Mass density ... 6.6 Mg/m³



Stability comparison, relative energies in meV per atom: *i* 42; *ii* 0



*i*
DFT (PBE-GGA) results for ZnCuTcB after structural relaxation.

```
4
Lattice="0.0000 2.8874 2.8874 2.8874 0.0000 2.8874 2.8874 2.8874 0.0000" Properties=species:S:1:pos:R:3 pbc="T T T"
B 0.0000 0.0000 0.0000
Cu 1.4437 1.4437 1.4437
Tc 2.8874 2.8874 2.8874
Zn 4.3311 4.3311 4.3311
```

Properties
Volume ... 12.04 Å³/atom
Total magnetic moment ... 0.01 μB per cell
Mass density ... 8.2 Mg/m³



*ii*
DFT (PBE-GGA) results for ZnCuTcB after structural relaxation.

```
4
Lattice="2.6984 0.6631 2.9156 -0.8133 2.6352 2.9352 -0.7146 -1.3097 3.7411" Properties=species:S:1:pos:R:3 pbc="T T T"
B 0.0000 0.0000 0.0000
Cu 0.8779 1.4915 7.1939
Tc 0.2926 0.4972 2.3980
Zn 0.5853 0.9943 4.7959
```

Properties
Volume ... 11.55 Å³/atom
Total magnetic moment ... 0.00 μB per cell
Mass density ... 8.5 Mg/m³



Stability comparison, relative energies in meV per atom: *i* 474; *ii* 0



*i*
DFT (PBE-GGA) results for ZrCuTcB after structural relaxation.

```
4
Lattice="3.6872 0.8188 2.1048 0.5442 -1.4298 4.0442 2.7888 -3.2054 0.8029" Properties=species:S:1:pos:R:3 pbc="T T T"
B 0.0000 0.0000 0.0000
Cu 5.2652 -2.8622 5.2139
Tc 3.5101 -1.9082 3.4760
Zr 1.7551 -0.9541 1.7380
```

Properties
Volume ... 14.29 Å³/atom
Total magnetic moment ... 0.00 μB per cell
Mass density ... 7.7 Mg/m³



*ii*
DFT (PBE-GGA) results for ZrCuTcB after structural relaxation.

```
4
Lattice="0.0000 3.0255 3.0255 3.0255 0.0000 3.0255 3.0255 3.0255 0.0000" Properties=species:S:1:pos:R:3 pbc="T T T"
B 0.0000 0.0000 0.0000
Cu 4.5383 4.5383 4.5383
Tc 1.5128 1.5128 1.5128
Zr 3.0255 3.0255 3.0255
```

Properties
Volume ... 13.85 Å³/atom
Total magnetic moment ... 0.00 μB per cell
Mass density ... 7.9 Mg/m³



Stability comparison, relative energies in meV per atom: *i* 139; *ii* 0



*i*
DFT (PBE-GGA) results for TlCuB4 after structural relaxation.

```
6
Lattice="3.0491 0.0000 0.0000 -1.5246 2.6406 0.0000 0.0000 0.0000 8.5391" Properties=species:S:1:pos:R:3 pbc="T T T"
B 1.5246 0.8802 2.7156
B 0.0000 1.7604 2.7156
B 1.5246 0.8802 5.8235
B 0.0000 1.7604 5.8235
Cu 0.0000 0.0000 4.2696
Tl 0.0000 0.0000 0.0000
```

Properties
Volume ... 11.46 Å³/atom
Mass density ... 7.5 Mg/m³



*ii*
DFT (PBE-GGA) results for TlCuB4 after structural relaxation.

```
6
Lattice="4.9983 -0.6652 0.5645 1.2842 2.6523 4.1304 -2.6586 -3.9561 -1.7394" Properties=species:S:1:pos:R:3 pbc="T T T"
B 2.4216 -1.0338 0.8283
B 0.4335 0.5835 2.5132
B 3.1905 -2.5524 0.4422
B 1.2023 -0.9351 2.1271
Cu 0.0000 0.0000 0.0000
Tl 3.1413 0.9936 2.3474
```

Properties
Volume ... 10.92 Å³/atom
Mass density ... 7.9 Mg/m³



Stability comparison, relative energies in meV per atom: *i* 0; *ii* 202



*i*
DFT (PBE-GGA) results for CuBW2 after structural relaxation.

```
4
Lattice="0.0000 2.9903 2.9903 2.9903 0.0000 2.9903 2.9903 2.9903 0.0000" Properties=species:S:1:pos:R:3 pbc="T T T"
B 2.9903 2.9903 2.9903
Cu 1.4952 1.4952 1.4952
W 0.0000 0.0000 0.0000
W 4.4855 4.4855 4.4855
```

Properties
Volume ... 13.37 Å³/atom
Total magnetic moment ... 0.00 μB per cell
Mass density ... 13.7 Mg/m³



*ii*
DFT (PBE-GGA) results for CuBW2 after structural relaxation.

```
8
Lattice="-1.6106 2.5343 -0.6907 -1.2143 -2.1388 1.8560 5.1069 6.0593 10.3240" Properties=species:S:1:pos:R:3 pbc="T T T"
B 0.0000 0.0000 0.0000
B 2.5534 3.0297 5.1620
Cu -0.2017 2.4914 2.7392
Cu 2.4838 3.9634 8.7500
W -0.8757 -0.0227 1.9585
W 0.7364 1.8901 5.2176
W 1.5456 4.5647 6.2716
W 3.1578 6.4775 9.5307
```

Properties
Volume ... 13.38 Å³/atom
Total magnetic moment ... 0.00 μB per cell
Mass density ... 13.7 Mg/m³



Stability comparison, relative energies in meV per atom: *i* 773; *ii* 0



*i*
DFT (PBE-GGA) results for YCuBW after structural relaxation.

```
4
Lattice="0.0000 3.1970 3.1970 3.1970 0.0000 3.1970 3.1970 3.1970 0.0000" Properties=species:S:1:pos:R:3 pbc="T T T"
B 0.0000 0.0000 0.0000
Cu 4.7955 4.7955 4.7955
W 3.1970 3.1970 3.1970
Y 1.5985 1.5985 1.5985
```

Properties
Volume ... 16.34 Å³/atom
Total magnetic moment ... 2.11 μB per cell
Mass density ... 8.8 Mg/m³



*ii*
DFT (PBE-GGA) results for YCuBW after structural relaxation.

```
4
Lattice="0.0000 3.1294 3.1294 3.1294 0.0000 3.1294 3.1294 3.1294 0.0000" Properties=species:S:1:pos:R:3 pbc="T T T"
B 0.0000 0.0000 0.0000
Cu 4.6941 4.6941 4.6941
W 1.5647 1.5647 1.5647
Y 3.1294 3.1294 3.1294
```

Properties
Volume ... 15.32 Å³/atom
Total magnetic moment ... 0.00 μB per cell
Mass density ... 9.4 Mg/m³



Stability comparison, relative energies in meV per atom: *i* 130; *ii* 0